## LiScCo (PBE-GGA)

Data for a geometry-optimized LiScCo structure.

POSCAR file:
```
LiScCo
1.0
4.1625 0.0000 0.0000
-2.0812 3.6048 0.0000
0.0000 0.0000 2.9824
Li Sc Co
1 1 1
Cartesian
0.0000 0.0000 0.0000
0.0000 2.4032 1.2323
2.0812 1.2016 2.4402
```

Properties
Theoretical density ... 4.1 Mg/m³
DOS at the Fermi energy ... 1.19 states/eV/f.u.
Raw total energy ... -15.1 eV for the cell shown
Relative energy among the computed polymorphs ... 58 meV per atom
Energy of formation ... 80 meV per atom

=====

## ErTlIrPd (PBE-GGA)

Data for a geometry-optimized ErTlIrPd structure.

POSCAR file:
```
ErTlIrPd
1.0
0.0000 3.3776 3.3776
3.3776 0.0000 3.3776
3.3776 3.3776 0.0000
Er Tl Ir Pd
1 1 1 1
Cartesian
0.0000 0.0000 0.0000
3.3776 3.3776 3.3776
1.6888 1.6888 1.6888
5.0664 5.0664 5.0664
```

Properties
Theoretical density ... 14.4 Mg/m³
DOS at the Fermi energy ... 3.22 states/eV/f.u.
Raw total energy ... -22.9 eV for the cell shown
Energy of formation ... -468 meV per atom

=====

## SrAgPd3 (PBE-GGA)

Data for a geometry-optimized SrAgPd3 structure.

POSCAR file:
```
SrAgPd3
1.0
5.1604 0.0000 0.0000
0.0000 5.1604 0.0000
0.0000 0.0000 5.1604
Sr Ag Pd
1 1 3
Cartesian
0.0000 0.0000 0.0000
2.5802 2.5802 2.5802
0.0000 0.0000 2.5802
0.0000 2.5802 0.0000
2.5802 0.0000 0.0000
```

Properties
Theoretical density ... 6.2 Mg/m³
DOS at the Fermi energy ... 2.01 states/eV/f.u.
Raw total energy ... -15.4 eV for the cell shown
Relative energy among the computed polymorphs ... 735 meV per atom
Energy of formation ... 948 meV per atom

=====

Which value of DOS at the Fermi energy does entry 1 give? 1.19 states/eV/f.u.

=====

Which of these has the highest raw total energy? LiScCo

=====

The highest energy of formation belongs to which entry? SrAgPd3

=====

Which of these has the lowest DOS at the Fermi energy? LiScCo